(1)
An optimized crystal structure of Ac2GaTePd6. Source: Alexandria, functional GGA-PBE.

Calculated values
E in eV/atom: -5.235
SG: No. 2
Energy relative to the elements, uncorrected in eV/atom: -0.68
Total magnetic moment in μB/cell: 0.0
N(E_F) in states/eV per atom: 0.183

abc: 8.708 5.902 5.890
angles: 60.02 70.32 90.00
Fractional positions:
Pd1 0.736 0.747 0.508
Pd2 0.736 0.747 0.009
Pd3 0.264 0.253 0.492
Pd4 0.263 0.753 0.993
Pd5 0.264 0.253 0.991
Pd6 0.737 0.247 0.007
Ga1 0.500 0.500 0.000
Ac1 0.638 0.214 0.574
Ac2 0.362 0.786 0.426
Te1 0.000 0.000 0.000

(2)
An optimized crystal structure of Mg2ScHPd. Source: Alexandria, functional GGA-PBE.

Calculated values
E in eV/atom: -3.977
SG: No. 123
Total magnetic moment in μB/cell: 0.0
N(E_F) in states/eV per atom: 0.651

abc: 4.275 4.275 4.250
angles: 90.00 90.00 90.00
Fractional positions:
Pd1 0.500 0.500 0.500
Mg1 0.000 0.500 0.000
Mg2 0.500 0.000 0.000
H1 0.000 0.000 0.000
Sc1 0.000 0.000 0.500

(3)
An optimized crystal structure of Li5ZnPd2. Source: Alexandria, functional GGA-PBE.

Calculated values
E in eV/atom: -2.985
SG: No. 55
Total magnetic moment in μB/cell: 0.0
N(E_F) in states/eV per atom: 0.304
Calculated formation energy in eV per formula unit: -2.650

abc: 3.988 5.426 10.725
angles: 90.00 90.00 90.00
Fractional positions:
Li1 0.500 0.231 0.874
Li2 0.500 0.731 0.626
Li3 0.000 0.000 0.000
Li4 0.500 0.769 0.126
Li5 0.500 0.269 0.374
Li6 0.000 0.519 0.248
Li7 0.000 0.481 0.752
Li8 0.000 0.500 0.500
Li9 0.000 0.019 0.252
Li10 0.000 0.981 0.748
Pd1 0.500 0.778 0.381
Pd2 0.500 0.222 0.619
Pd3 0.500 0.722 0.881
Pd4 0.500 0.278 0.119
Zn1 0.000 0.000 0.500
Zn2 0.000 0.500 0.000